The following is a PBE with a Hubbard U calculation of an optimized crystal structure of Na2MnPCO7, from Alexandria.

V	157	Å³/f.u.
SG	P1, No. 1
electronic total energy	-0.252	hartree per atom

Cell lengths 8.351, 8.439, 9.136 Å; angles 91.85, 89.41, 102.01 degrees
Fractional positions:
O (0.968, 0.202, 0.572)
O (0.338, 0.594, 0.843)
O (0.096, 0.665, 0.680)
P (0.031, 0.276, 0.425)
C (0.234, 0.487, 0.922)
O (0.668, 0.917, 0.453)
Na (0.612, 0.616, 0.763)
Na (0.358, 0.873, 0.760)
O (0.225, 0.988, 0.938)
O (0.838, 0.097, 0.834)
O (0.164, 0.906, 0.163)
O (0.667, 0.408, 0.150)
Na (0.128, 0.127, 0.759)
O (0.905, 0.852, 0.673)
O (0.130, 0.386, 0.842)
P (0.521, 0.768, 0.428)
O (0.416, 0.363, 0.655)
Mn (0.760, 0.015, 0.636)
Na (0.382, 0.365, 0.218)
O (0.881, 0.610, 0.163)
O (0.768, 0.532, 0.942)
Na (0.147, 0.630, 0.250)
O (0.332, 0.075, 0.551)
C (0.774, 0.518, 0.079)
P (0.478, 0.229, 0.565)
O (0.827, 0.575, 0.545)
C (0.263, 0.003, 0.073)
Mn (0.239, 0.986, 0.360)
Na (0.657, 0.105, 0.237)
O (0.754, 0.974, 0.045)
Mn (0.257, 0.517, 0.644)
O (0.575, 0.630, 0.339)
O (0.537, 0.283, 0.410)
O (0.892, 0.320, 0.334)
O (0.391, 0.828, 0.335)
O (0.052, 0.793, 0.436)
O (0.623, 0.895, 0.830)
Na (0.861, 0.371, 0.762)
O (0.163, 0.439, 0.456)
O (0.617, 0.184, 0.655)
Na (0.957, 0.813, 0.990)
O (0.120, 0.164, 0.332)
O (0.242, 0.491, 0.059)
P (0.973, 0.725, 0.578)
O (0.450, 0.710, 0.579)
Mn (0.741, 0.485, 0.353)
O (0.383, 0.102, 0.132)
C (0.734, 0.988, 0.910)